Material: MnCd4Se5
Method: DFT, PBE
State: relaxed

Output
Calculated total energy   -72.03 eV/cell
Space-group type   P3m1, No. 156
Spin magnetization   9.990 μB per cell

Cell lengths 4.348, 4.348, 35.355 Å; angles 90.00, 90.00, 120.00 degrees
Site moments in Bohr magnetons follow the coordinates.
Atoms (fractional coordinates):
Mn: 0.333 0.667 0.104  4.32
Mn: 0.333 0.667 0.298  4.32
Cd: 0.333 0.667 0.496  0.00
Cd: 0.333 0.667 0.700  0.00
Cd: 0.333 0.667 0.904  0.00
Cd: 0.667 0.333 0.006  0.02
Cd: 0.667 0.333 0.200  0.03
Cd: 0.667 0.333 0.394  0.01
Cd: 0.667 0.333 0.598  0.00
Cd: 0.667 0.333 0.802  0.00
Se: 0.333 0.667 0.032  0.03
Se: 0.333 0.667 0.226  0.04
Se: 0.333 0.667 0.420  0.01
Se: 0.333 0.667 0.624  0.00
Se: 0.333 0.667 0.828  0.00
Se: 0.667 0.333 0.124  0.06
Se: 0.667 0.333 0.318  0.05
Se: 0.667 0.333 0.522  0.00
Se: 0.667 0.333 0.726  0.00
Se: 0.667 0.333 0.930  0.01